An optimized crystal structure of BaLaMg4, computed with PBE.

Computed properties:
* ΔE_f: -0.07 eV/atom
* mass density: 3.35 g/cm3
* energy: -2.277 eV per atom

Unit cell a=6.3988 b=6.3988 c=6.3988 alpha=60.00 beta=60.00 gamma=60.00
Last column: nearest neighbours and their distance in Å.
Element x y z (fractional)
Mg: 0.1207 0.6264 0.6264  6 Mg 3.16-3.24
Mg: 0.6264 0.6264 0.6264  6 Mg 3.16-3.24
Mg: 0.6264 0.6264 0.1207  6 Mg 3.16-3.24
La: 0.0000 0.0000 0.0000  12 Mg 3.75, 4 Ba 3.92
Ba: 0.2500 0.2500 0.2500  12 Mg 3.76, 4 La 3.92
Mg: 0.6264 0.1207 0.6264  6 Mg 3.16-3.24